First-principles (PBE-GGA) data for Ce3TeRuCl after structural relaxation, as listed in the Alexandria database.

The structure in extended XYZ format:
```
12
Lattice="7.647 0.000 0.000 0.000 4.470 0.000 -2.702 0.000 9.126" Properties=species:S:1:pos:R:3 pbc="T T T"
Ce -0.792 1.117 3.244
Ce -0.973 1.117 8.720
Ce 1.713 3.352 5.307
Ce 3.232 1.117 3.819
Ce 5.918 3.352 0.406
Ce 5.737 3.352 5.882
Te 1.191 3.352 1.926
Te 3.755 1.117 7.200
Ru 0.066 1.117 5.539
Ru 4.880 3.352 3.586
Cl 0.659 3.352 8.004
Cl 4.286 1.117 1.122
```

## Properties
**Energy relative to the elements, uncorrected**: -0.93 eV per atom
**Crystal system**: monoclinic
**Calculated volume**: 312 Å³/cell
**SG**: P2_1/m, No. 11
**VASP energy**: -75.26 eV/cell